# 1
Compound: RbZrTeSe2
Source: Alexandria
Functional: PBE
Structure: relaxed

Lattice parameters (Å, degrees): 5.3243 5.3243 5.7315 90.00 90.00 90.00
Closest atoms and distances in Å follow each position.
Element x y z (fractional)
1 Te 0.0000 0.0000 0.5000  2 Zr 2.87
2 Rb 0.5000 0.5000 0.5000  4 Te 3.76, 8 Se 3.91
3 Se 0.0000 0.5000 0.0000  2 Zr 2.66
4 Se 0.5000 0.0000 0.0000  2 Zr 2.66
5 Zr 0.0000 0.0000 0.0000  4 Se 2.66, 2 Te 2.87

Calculated values
Volume in Å³/f.u.: 162.48
Space-group type: No. 123
Mass density in g cm⁻³: 4.724
Formation energy without anion corrections in eV/atom: -0.968
Electronic total energy in eV per atom: -4.89

---

# 2
Compound: RbZrTe2Se
Source: Alexandria
Functional: PBE
Structure: relaxed

Lattice parameters (Å, degrees): 5.7371 5.7371 5.3020 90.00 90.00 90.00
Closest atoms and distances in Å follow each position.
Element x y z (fractional)
1 Se 0.0000 0.0000 0.5000  2 Zr 2.65
2 Te 0.5000 0.0000 0.0000  2 Zr 2.87
3 Te 0.0000 0.5000 0.0000  2 Zr 2.87
4 Zr 0.0000 0.0000 0.0000  2 Se 2.65, 4 Te 2.87
5 Rb 0.5000 0.5000 0.5000  8 Te 3.91, 4 Se 4.06

Calculated values
Volume in Å³/f.u.: 174.51
Space-group type: No. 123
Mass density in g cm⁻³: 4.861
Formation energy without anion corrections in eV/atom: -0.859
Electronic total energy in eV per atom: -4.72

---

# 3
Compound: Rb2ZrTeSe4
Source: Alexandria
Functional: PBE
Structure: relaxed

Lattice parameters (Å, degrees): 5.7305 8.3801 13.7674 85.92 77.99 70.01
Closest atoms and distances in Å follow each position.
Element x y z (fractional)
1 Se 0.5827 0.2823 0.6214  1 Zr 2.67, 1 Te 2.88
2 Se 0.1673 0.2177 0.8786  1 Zr 2.67, 1 Te 2.88
3 Se 0.7959 0.7177 0.6214  1 Zr 2.67, 1 Te 2.88
4 Se 0.9541 0.7823 0.8786  1 Zr 2.67, 1 Te 2.88
5 Se 0.1350 0.2823 0.3786  1 Zr 2.67, 1 Te 2.88
6 Se 0.4864 0.7177 0.3786  1 Zr 2.67, 1 Te 2.88
7 Se 0.6150 0.2177 0.1214  1 Zr 2.67, 1 Te 2.88
8 Se 0.2636 0.7823 0.1214  1 Zr 2.67, 1 Te 2.88
9 Rb 0.8271 0.0000 0.3458  6 Se 3.50-3.81
10 Rb 0.1729 0.0000 0.6542  6 Se 3.50-3.81
11 Rb 0.5771 0.5000 0.8458  6 Se 3.50-3.81
12 Rb 0.9229 0.5000 0.1542  6 Se 3.50-3.81
13 Te 0.2500 0.5000 0.5000  2 Zr 2.87, 4 Se 2.88
14 Te 0.5000 0.0000 0.0000  2 Zr 2.87, 4 Se 2.88
15 Zr 0.7500 0.5000 0.5000  4 Se 2.67, 2 Te 2.87
16 Zr 0.0000 0.0000 0.0000  4 Se 2.67, 2 Te 2.87

Calculated values
Volume in Å³/f.u.: 303.84
Space-group type: No. 70
Mass density in g cm⁻³: 3.856
Formation energy without anion corrections in eV/atom: -0.759
Electronic total energy in eV per atom: -4.20